# GGA-PBE SrLiSn2Pd4, optimized geometry
data_SrLiSn2Pd4
_chemical_formula_sum 'Sr3 Li3 Sn6 Pd12'
_space_group_name_H-M_alt 'R -3 m'
_space_group_IT_number 166
_space_group_name_Hall '-R 3 2"'
_cell_length_a 4.5523
_cell_length_b 4.5523
_cell_length_c 26.4994
_cell_angle_alpha 90.00
_cell_angle_beta 90.00
_cell_angle_gamma 120.00
loop_
_atom_site_label
_atom_site_type_symbol
_atom_site_fract_x
_atom_site_fract_y
_atom_site_fract_z
_atom_site_occupancy
Sr1 Sr 0.0000 0.0000 0.0000 1
Li1 Li 0.0000 0.0000 0.5000 1
Sn1 Sn 0.0000 0.0000 0.2360 1
Pd1 Pd 0.0000 0.0000 0.1321 1
Pd2 Pd 0.0000 0.0000 0.4062 1
# Formation energy: -0.66 eV/atom
# Uncorrected energy: -113.0 eV for the cell shown
# Density of states at the Fermi level: 10.5 states/eV per cell



# GGA-PBE SrLi2SnPd, optimized geometry
data_SrLi2SnPd
_chemical_formula_sum 'Sr1 Li2 Sn1 Pd1'
_space_group_name_H-M_alt 'P 4/m m m'
_space_group_IT_number 123
_space_group_name_Hall '-P 4 2'
_cell_length_a 4.9591
_cell_length_b 4.9591
_cell_length_c 5.1359
_cell_angle_alpha 90.00
_cell_angle_beta 90.00
_cell_angle_gamma 90.00
loop_
_atom_site_label
_atom_site_type_symbol
_atom_site_fract_x
_atom_site_fract_y
_atom_site_fract_z
_atom_site_occupancy
Sr1 Sr 0.0000 0.0000 0.0000 1
Li1 Li 0.0000 0.5000 0.5000 1
Sn1 Sn 0.5000 0.5000 0.0000 1
Pd1 Pd 0.5000 0.5000 0.5000 1
# Formation energy: -0.39 eV/atom
# Uncorrected energy: -16.7 eV for the cell shown
# Density of states at the Fermi level: 2.3 states/eV per cell



# GGA-PBE SrLiSnPd, optimized geometry
data_SrLiSnPd
_chemical_formula_sum 'Sr2 Li2 Sn2 Pd2'
_space_group_name_H-M_alt 'C 1 m 1'
_space_group_IT_number 8
_space_group_name_Hall 'C -2y'
_cell_length_a 8.0876
_cell_length_b 4.6658
_cell_length_c 5.9276
_cell_angle_alpha 90.00
_cell_angle_beta 116.95
_cell_angle_gamma 90.00
loop_
_atom_site_label
_atom_site_type_symbol
_atom_site_fract_x
_atom_site_fract_y
_atom_site_fract_z
_atom_site_occupancy
Sr1 Sr 0.0000 0.0000 0.0000 1
Li1 Li 0.3042 0.5000 0.4117 1
Sn1 Sn 0.0176 0.5000 0.5524 1
Pd1 Pd 0.1964 0.0000 0.5886 1
# Formation energy: -0.63 eV/atom
# Uncorrected energy: -30.6 eV for the cell shown
# Density of states at the Fermi level: 5.6 states/eV per cell